Entry 1:
{
  "formula": "Hf31SO64",
  "functional": "GGA-PBE",
  "state": "optimized geometry",
  "lattice_angstrom": [[10.044, 0.000, 0.000], [0.027, 10.091, 0.000], [0.015, 0.007, 10.458]],
  "species": ["Hf", "O", "O", "O", "Hf", "O", "Hf", "O", "O", "O", "Hf", "O", "O", "S", "O", "O", "O", "O", "O", "O", "Hf", "O", "Hf", "O", "O", "O", "O", "O", "Hf", "Hf", "O", "O", "O", "Hf", "O", "O", "Hf", "O", "Hf", "O", "O", "O", "Hf", "Hf", "O", "O", "Hf", "O", "O", "Hf", "O", "O", "O", "Hf", "Hf", "O", "O", "O", "O", "O", "Hf", "O", "O", "Hf", "Hf", "O", "Hf", "O", "Hf", "O", "O", "O", "O", "O", "Hf", "O", "O", "O", "O", "O", "O", "Hf", "O", "Hf", "O", "Hf", "Hf", "O", "Hf", "O", "Hf", "Hf", "O", "Hf", "O", "O"],
  "frac_coords": [[0.993, 0.377, 0.609], [0.160, 0.943, 0.192], [0.654, 0.209, 0.302], [0.355, 0.248, 0.989], [0.491, 0.618, 0.885], [0.663, 0.683, 0.296], [0.257, 0.875, 0.359], [0.357, 0.000, 0.508], [0.396, 0.496, 0.257], [0.161, 0.446, 0.691], [0.259, 0.873, 0.860], [0.160, 0.196, 0.807], [0.855, 0.003, 0.009], [0.706, 0.618, 0.162], [0.352, 0.750, 0.494], [0.368, 0.748, 0.992], [0.354, 0.498, 0.007], [0.592, 0.944, 0.439], [0.390, 0.246, 0.237], [0.590, 0.696, 0.551], [0.256, 0.374, 0.857], [0.852, 0.251, 0.993], [0.493, 0.122, 0.889], [0.661, 0.194, 0.808], [0.897, 0.000, 0.758], [0.160, 0.446, 0.191], [0.869, 0.760, 0.981], [0.397, 0.747, 0.740], [0.259, 0.124, 0.641], [0.256, 0.373, 0.356], [0.096, 0.697, 0.057], [0.357, 0.249, 0.489], [0.653, 0.471, 0.188], [0.988, 0.870, 0.108], [0.168, 0.690, 0.311], [0.658, 0.447, 0.692], [0.992, 0.127, 0.392], [0.394, 0.498, 0.757], [0.481, 0.621, 0.396], [0.400, 0.748, 0.244], [0.912, 0.763, 0.257], [0.856, 0.251, 0.492], [0.760, 0.127, 0.140], [0.482, 0.369, 0.104], [0.898, 0.496, 0.263], [0.856, 0.001, 0.508], [0.255, 0.627, 0.642], [0.161, 0.696, 0.809], [0.357, 0.000, 0.009], [0.766, 0.377, 0.363], [0.091, 0.195, 0.559], [0.090, 0.947, 0.442], [0.855, 0.501, 0.509], [0.493, 0.876, 0.607], [0.769, 0.879, 0.357], [0.893, 0.008, 0.258], [0.159, 0.194, 0.308], [0.895, 0.251, 0.743], [0.395, 0.998, 0.258], [0.092, 0.447, 0.943], [0.759, 0.627, 0.640], [0.395, 0.997, 0.759], [0.593, 0.195, 0.555], [0.252, 0.123, 0.139], [0.489, 0.881, 0.113], [0.587, 0.440, 0.941], [0.760, 0.125, 0.644], [0.096, 0.952, 0.944], [0.992, 0.875, 0.609], [0.592, 0.448, 0.440], [0.660, 0.694, 0.812], [0.396, 0.247, 0.739], [0.893, 0.750, 0.738], [0.893, 0.253, 0.241], [0.493, 0.373, 0.607], [0.162, 0.944, 0.692], [0.091, 0.444, 0.443], [0.896, 0.502, 0.753], [0.856, 0.498, 0.998], [0.661, 0.945, 0.194], [0.355, 0.500, 0.508], [0.493, 0.125, 0.389], [0.588, 0.195, 0.057], [0.987, 0.625, 0.892], [0.850, 0.749, 0.493], [0.992, 0.126, 0.894], [0.762, 0.379, 0.859], [0.591, 0.941, 0.945], [0.989, 0.627, 0.388], [0.660, 0.946, 0.692], [0.259, 0.624, 0.142], [0.985, 0.384, 0.108], [0.593, 0.677, 0.074], [0.762, 0.876, 0.860], [0.088, 0.696, 0.558], [0.088, 0.201, 0.058]],
  "dft_energy_ev_per_atom": -9.99,
  "magnetic_moment_mub_per_fu": 0.02
}



Entry 2:
{
  "formula": "HfS2O8",
  "functional": "GGA-PBE",
  "state": "optimized geometry",
  "lattice_angstrom": [[4.878, -2.928, 0.000], [4.878, 2.928, 0.000], [-0.964, 0.000, 4.778]],
  "species": ["O", "O", "O", "Hf", "S", "S", "O", "O", "O", "O", "O"],
  "frac_coords": [[0.927, 0.327, 0.784], [0.654, 0.654, 0.256], [0.150, 0.150, 0.357], [0.000, 0.000, 0.000], [0.197, 0.197, 0.670], [0.803, 0.803, 0.330], [0.346, 0.346, 0.744], [0.673, 0.073, 0.216], [0.327, 0.927, 0.784], [0.850, 0.850, 0.643], [0.073, 0.673, 0.216]],
  "dft_energy_ev_per_atom": -7.02,
  "magnetic_moment_mub_per_fu": 0.00
}



Entry 3:
{
  "formula": "Hf31SO64",
  "functional": "GGA-PBE",
  "state": "optimized geometry",
  "lattice_angstrom": [[-9.994, 2.037, 0.714], [-1.884, -6.713, -7.591], [0.665, -7.989, 6.901]],
  "species": ["O", "O", "Hf", "Hf", "O", "Hf", "O", "Hf", "O", "O", "Hf", "Hf", "O", "Hf", "O", "O", "O", "Hf", "O", "S", "Hf", "O", "O", "O", "O", "O", "O", "Hf", "O", "O", "Hf", "Hf", "O", "O", "Hf", "O", "O", "O", "Hf", "Hf", "O", "O", "O", "O", "O", "O", "Hf", "O", "O", "O", "O", "O", "O", "O", "Hf", "Hf", "O", "O", "O", "O", "O", "Hf", "Hf", "Hf", "O", "O", "O", "Hf", "O", "O", "O", "Hf", "O", "O", "O", "Hf", "O", "Hf", "O", "O", "Hf", "O", "O", "O", "O", "O", "Hf", "Hf", "O", "O", "O", "Hf", "O", "Hf", "Hf", "O"],
  "frac_coords": [[0.096, 0.997, 0.741], [0.840, 0.462, 0.576], [0.239, 0.101, 0.147], [0.519, 0.152, 0.854], [0.644, 0.246, 0.749], [0.239, 0.395, 0.400], [0.151, 0.756, 0.761], [0.728, 0.607, 0.147], [0.599, 0.996, 0.239], [0.840, 0.045, 0.830], [0.736, 0.896, 0.895], [0.736, 0.898, 0.397], [0.098, 0.996, 0.239], [0.515, 0.854, 0.102], [0.340, 0.541, 0.329], [0.649, 0.745, 0.510], [0.909, 0.786, 0.923], [0.022, 0.649, 0.856], [0.149, 0.752, 0.261], [0.794, 0.411, 0.913], [0.238, 0.396, 0.896], [0.150, 0.246, 0.511], [0.411, 0.788, 0.923], [0.406, 0.714, 0.674], [0.654, 0.752, 0.761], [0.842, 0.039, 0.327], [0.907, 0.705, 0.680], [0.243, 0.897, 0.896], [0.844, 0.529, 0.315], [0.101, 0.001, 0.989], [0.728, 0.603, 0.642], [0.012, 0.853, 0.104], [0.652, 0.247, 0.507], [0.909, 0.215, 0.170], [0.239, 0.604, 0.147], [0.340, 0.038, 0.326], [0.343, 0.959, 0.077], [0.844, 0.464, 0.056], [0.013, 0.145, 0.355], [0.238, 0.105, 0.647], [0.098, 0.504, 0.991], [0.100, 0.495, 0.241], [0.652, 0.752, 0.260], [0.096, 0.002, 0.490], [0.907, 0.708, 0.172], [0.599, 0.001, 0.988], [0.517, 0.354, 0.608], [0.340, 0.460, 0.578], [0.644, 0.239, 0.015], [0.599, 0.993, 0.740], [0.909, 0.288, 0.424], [0.909, 0.309, 0.919], [0.410, 0.709, 0.173], [0.154, 0.746, 0.011], [0.012, 0.355, 0.603], [0.015, 0.139, 0.849], [0.340, 0.962, 0.576], [0.843, 0.525, 0.834], [0.652, 0.253, 0.260], [0.599, 0.503, 0.487], [0.409, 0.289, 0.426], [0.512, 0.147, 0.353], [0.511, 0.645, 0.355], [0.516, 0.354, 0.101], [0.097, 0.498, 0.740], [0.589, 0.507, 0.728], [0.843, 0.961, 0.076], [0.011, 0.645, 0.353], [0.148, 0.746, 0.511], [0.908, 0.210, 0.674], [0.154, 0.252, 0.262], [0.518, 0.639, 0.855], [0.839, 0.957, 0.578], [0.904, 0.784, 0.426], [0.149, 0.254, 0.761], [0.511, 0.854, 0.605], [0.407, 0.790, 0.424], [0.235, 0.895, 0.397], [0.406, 0.290, 0.923], [0.342, 0.041, 0.826], [0.008, 0.851, 0.604], [0.402, 0.216, 0.676], [0.656, 0.750, 0.010], [0.597, 0.004, 0.489], [0.589, 0.514, 0.003], [0.339, 0.541, 0.828], [0.237, 0.604, 0.646], [0.736, 0.394, 0.395], [0.143, 0.244, 0.010], [0.336, 0.455, 0.079], [0.407, 0.210, 0.174], [0.735, 0.104, 0.144], [0.097, 0.503, 0.489], [0.732, 0.108, 0.646], [0.027, 0.352, 0.113], [0.598, 0.495, 0.244]],
  "dft_energy_ev_per_atom": -10.02,
  "magnetic_moment_mub_per_fu": 0.00
}



Entry 4:
{
  "formula": "HfSiSO2",
  "functional": "GGA-PBE",
  "state": "optimized geometry",
  "lattice_angstrom": [[2.433, -2.433, 0.000], [2.433, 2.433, 0.000], [-2.427, 0.000, 4.997]],
  "species": ["Hf", "Si", "S", "O", "O"],
  "frac_coords": [[0.283, 0.283, 0.563], [0.000, 0.000, 0.000], [0.676, 0.676, 0.349], [0.421, 0.921, 0.840], [0.921, 0.421, 0.840]],
  "dft_energy_ev_per_atom": -7.93,
  "magnetic_moment_mub_per_fu": 0.00
}



Entry 5:
{
  "formula": "Hf31SbO64",
  "functional": "GGA-PBE",
  "state": "optimized geometry",
  "lattice_angstrom": [[10.185, 0.000, 0.000], [-0.010, 10.348, 0.000], [-1.715, -0.004, 10.396]],
  "species": ["O", "O", "O", "Hf", "O", "O", "O", "O", "Hf", "Hf", "O", "Hf", "Hf", "O", "O", "O", "O", "O", "Hf", "Hf", "O", "O", "O", "O", "O", "O", "O", "Hf", "O", "Hf", "O", "O", "O", "Hf", "O", "Hf", "Hf", "O", "Hf", "O", "O", "O", "Hf", "Hf", "O", "O", "O", "O", "O", "O", "O", "O", "O", "O", "O", "Hf", "O", "O", "Hf", "O", "O", "O", "Hf", "Hf", "Hf", "O", "Hf", "O", "O", "Hf", "Hf", "Sb", "O", "O", "O", "O", "O", "O", "O", "Hf", "Hf", "O", "O", "Hf", "Hf", "Hf", "Hf", "O", "O", "Hf", "O", "O", "O", "Hf", "O", "O"],
  "frac_coords": [[0.153, 0.245, 0.011], [0.099, 0.496, 0.241], [0.411, 0.793, 0.921], [0.736, 0.896, 0.396], [0.409, 0.208, 0.671], [0.151, 0.746, 0.510], [0.598, 0.003, 0.990], [0.340, 0.043, 0.330], [0.013, 0.354, 0.604], [0.237, 0.103, 0.146], [0.151, 0.754, 0.760], [0.513, 0.355, 0.604], [0.737, 0.103, 0.147], [0.648, 0.251, 0.756], [0.839, 0.456, 0.580], [0.099, 0.504, 0.991], [0.152, 0.254, 0.760], [0.099, 0.003, 0.990], [0.013, 0.646, 0.354], [0.237, 0.396, 0.896], [0.098, 0.996, 0.240], [0.411, 0.706, 0.170], [0.910, 0.206, 0.671], [0.598, 0.004, 0.490], [0.151, 0.246, 0.510], [0.911, 0.207, 0.171], [0.153, 0.253, 0.261], [0.014, 0.646, 0.855], [0.152, 0.746, 0.010], [0.512, 0.146, 0.854], [0.653, 0.747, 0.010], [0.339, 0.043, 0.829], [0.598, 0.504, 0.488], [0.513, 0.854, 0.604], [0.918, 0.294, 0.922], [0.237, 0.396, 0.397], [0.736, 0.104, 0.645], [0.652, 0.755, 0.760], [0.514, 0.854, 0.103], [0.339, 0.544, 0.830], [0.911, 0.707, 0.171], [0.340, 0.956, 0.080], [0.236, 0.896, 0.396], [0.513, 0.354, 0.104], [0.911, 0.293, 0.421], [0.842, 0.457, 0.081], [0.651, 0.746, 0.510], [0.410, 0.793, 0.421], [0.338, 0.457, 0.579], [0.152, 0.754, 0.260], [0.652, 0.254, 0.260], [0.838, 0.546, 0.829], [0.410, 0.293, 0.420], [0.910, 0.706, 0.671], [0.839, 0.543, 0.329], [0.013, 0.146, 0.355], [0.840, 0.043, 0.330], [0.652, 0.246, 0.509], [0.013, 0.854, 0.104], [0.910, 0.793, 0.421], [0.840, 0.957, 0.080], [0.839, 0.045, 0.830], [0.015, 0.143, 0.853], [0.514, 0.645, 0.853], [0.019, 0.353, 0.108], [0.911, 0.794, 0.920], [0.736, 0.396, 0.396], [0.339, 0.544, 0.330], [0.097, 0.504, 0.490], [0.735, 0.604, 0.645], [0.513, 0.646, 0.354], [0.745, 0.394, 0.901], [0.339, 0.957, 0.579], [0.411, 0.206, 0.171], [0.596, 0.506, 0.993], [0.650, 0.243, 0.012], [0.098, 0.496, 0.741], [0.598, 0.995, 0.240], [0.592, 0.502, 0.733], [0.735, 0.605, 0.147], [0.236, 0.104, 0.646], [0.598, 0.496, 0.240], [0.411, 0.294, 0.921], [0.513, 0.146, 0.354], [0.237, 0.895, 0.896], [0.237, 0.604, 0.146], [0.737, 0.896, 0.896], [0.338, 0.456, 0.081], [0.598, 0.996, 0.740], [0.013, 0.853, 0.604], [0.098, 0.004, 0.490], [0.098, 0.995, 0.740], [0.652, 0.754, 0.260], [0.236, 0.604, 0.646], [0.409, 0.709, 0.671], [0.839, 0.956, 0.580]],
  "dft_energy_ev_per_atom": -10.03,
  "magnetic_moment_mub_per_fu": 1.00
}



Entry 6:
{
  "formula": "HfSb2O4",
  "functional": "GGA-PBE",
  "state": "optimized geometry",
  "lattice_angstrom": [[4.850, -4.850, 0.000], [-4.850, 0.000, -4.850], [4.850, 4.850, 0.000]],
  "species": ["Sb", "O", "Sb", "O", "Hf", "O", "Hf", "O", "O", "O", "O", "O", "Sb", "Sb"],
  "frac_coords": [[0.375, 0.250, 0.625], [0.650, 0.767, 0.883], [0.875, 0.250, 0.625], [0.100, 0.733, 0.367], [0.750, 0.500, 0.250], [0.633, 0.267, 0.900], [0.000, 0.000, 0.000], [0.117, 0.233, 0.883], [0.117, 0.767, 0.883], [0.633, 0.733, 0.367], [0.117, 0.233, 0.350], [0.633, 0.267, 0.367], [0.375, 0.750, 0.625], [0.375, 0.750, 0.125]],
  "dft_energy_ev_per_atom": -6.93,
  "magnetic_moment_mub_per_fu": 0.00
}



Entry 7:
{
  "formula": "Hf31SbO64",
  "functional": "GGA-PBE",
  "state": "optimized geometry",
  "lattice_angstrom": [[10.033, 0.000, 0.000], [-0.012, 10.083, 0.000], [-0.005, -0.006, 10.463]],
  "species": ["Hf", "O", "O", "O", "Hf", "Hf", "O", "O", "Sb", "O", "O", "O", "O", "O", "O", "Hf", "Hf", "O", "Hf", "Hf", "O", "O", "O", "Hf", "Hf", "O", "O", "O", "O", "O", "Hf", "O", "O", "Hf", "O", "Hf", "O", "O", "Hf", "O", "O", "Hf", "Hf", "Hf", "O", "Hf", "O", "Hf", "O", "O", "O", "O", "Hf", "O", "O", "O", "Hf", "O", "O", "O", "O", "O", "Hf", "O", "O", "O", "O", "Hf", "O", "Hf", "Hf", "O", "O", "O", "Hf", "O", "Hf", "O", "O", "O", "O", "O", "O", "Hf", "O", "Hf", "O", "O", "O", "Hf", "O", "O", "Hf", "O", "Hf", "O"],
  "frac_coords": [[0.992, 0.874, 0.609], [0.590, 0.805, 0.441], [0.588, 0.806, 0.941], [0.396, 0.250, 0.258], [0.991, 0.874, 0.108], [0.490, 0.375, 0.111], [0.395, 0.750, 0.258], [0.355, 0.999, 0.992], [0.752, 0.381, 0.856], [0.089, 0.556, 0.059], [0.896, 0.999, 0.243], [0.855, 0.999, 0.493], [0.355, 0.750, 0.508], [0.588, 0.306, 0.441], [0.582, 0.308, 0.940], [0.758, 0.624, 0.142], [0.259, 0.374, 0.859], [0.089, 0.805, 0.941], [0.992, 0.373, 0.608], [0.491, 0.123, 0.891], [0.661, 0.806, 0.191], [0.353, 0.500, 0.994], [0.590, 0.056, 0.559], [0.761, 0.123, 0.642], [0.489, 0.375, 0.608], [0.160, 0.805, 0.192], [0.355, 0.000, 0.492], [0.855, 0.500, 0.995], [0.395, 0.500, 0.243], [0.395, 0.750, 0.759], [0.760, 0.124, 0.142], [0.091, 0.053, 0.059], [0.161, 0.055, 0.309], [0.491, 0.875, 0.609], [0.855, 0.998, 0.992], [0.259, 0.124, 0.142], [0.091, 0.306, 0.941], [0.589, 0.556, 0.059], [0.759, 0.874, 0.859], [0.661, 0.055, 0.310], [0.854, 0.249, 0.507], [0.259, 0.125, 0.642], [0.488, 0.626, 0.893], [0.759, 0.874, 0.358], [0.395, 0.000, 0.742], [0.258, 0.624, 0.142], [0.661, 0.806, 0.691], [0.259, 0.373, 0.359], [0.895, 0.250, 0.260], [0.895, 0.501, 0.741], [0.089, 0.305, 0.441], [0.855, 0.750, 0.507], [0.491, 0.625, 0.392], [0.902, 0.246, 0.752], [0.661, 0.306, 0.190], [0.163, 0.307, 0.690], [0.992, 0.624, 0.892], [0.895, 0.749, 0.258], [0.089, 0.556, 0.559], [0.660, 0.555, 0.309], [0.895, 0.998, 0.743], [0.161, 0.304, 0.192], [0.991, 0.624, 0.391], [0.396, 0.249, 0.757], [0.589, 0.056, 0.059], [0.895, 0.499, 0.243], [0.661, 0.056, 0.809], [0.492, 0.875, 0.109], [0.854, 0.749, 0.008], [0.991, 0.125, 0.893], [0.258, 0.875, 0.859], [0.161, 0.806, 0.691], [0.354, 0.499, 0.493], [0.395, 0.000, 0.242], [0.492, 0.124, 0.392], [0.661, 0.306, 0.688], [0.992, 0.373, 0.110], [0.863, 0.244, 0.015], [0.589, 0.556, 0.559], [0.354, 0.249, 0.507], [0.160, 0.554, 0.309], [0.089, 0.055, 0.559], [0.161, 0.556, 0.809], [0.991, 0.124, 0.392], [0.161, 0.056, 0.809], [0.258, 0.624, 0.642], [0.354, 0.750, 0.009], [0.895, 0.749, 0.758], [0.089, 0.805, 0.441], [0.259, 0.875, 0.359], [0.355, 0.249, 0.008], [0.855, 0.500, 0.492], [0.759, 0.626, 0.639], [0.396, 0.500, 0.743], [0.759, 0.374, 0.359], [0.659, 0.560, 0.808]],
  "dft_energy_ev_per_atom": -10.01,
  "magnetic_moment_mub_per_fu": 0.98
}